1.
# CaSeO3

A relaxed CaSeO3 crystal (PBE, Alexandria via LeMat-Bulk).

abc: 6.829 6.486 9.785
angles: 90.00 56.63 90.00
Fractional coordinates of all 20 atoms:
Ca  0.142  0.354  0.296
Ca  0.358  0.854  0.204
Ca  0.858  0.646  0.704
Ca  0.642  0.146  0.796
Se  0.704  0.351  0.096
Se  0.796  0.851  0.404
Se  0.296  0.649  0.904
Se  0.204  0.149  0.596
O  0.015  0.317  0.577
O  0.485  0.817  0.923
O  0.985  0.683  0.423
O  0.515  0.183  0.077
O  0.997  0.966  0.720
O  0.503  0.466  0.780
O  0.003  0.034  0.280
O  0.497  0.534  0.220
O  0.359  0.046  0.405
O  0.141  0.546  0.095
O  0.641  0.954  0.595
O  0.859  0.454  0.905

formation energy from raw total energies	-1.873	eV/atom
final energy	-118.90	eV per cell
total moment	0.0	μB/cell
DOS at the Fermi energy	0.00	states/eV per atom

2.
# Ca3Se2O

A relaxed Ca3Se2O crystal (PBE, Alexandria via LeMat-Bulk).

abc: 6.511 6.748 6.748
angles: 110.90 90.00 90.00
Fractional coordinates of all 12 atoms:
Ca  0.250  0.376  0.376
Ca  0.750  0.624  0.624
Ca  0.500  0.147  0.853
Ca  0.000  0.147  0.853
Ca  0.500  0.853  0.147
Ca  0.000  0.853  0.147
Se  0.750  0.494  0.163
Se  0.250  0.506  0.837
Se  0.250  0.837  0.506
Se  0.750  0.163  0.494
O  0.750  0.915  0.915
O  0.250  0.085  0.085

formation energy from raw total energies	-2.149	eV/atom
final energy	-61.65	eV per cell
total moment	0.0	μB/cell
DOS at the Fermi energy	0.00	states/eV per atom

3.
# CaSeO4

A relaxed CaSeO4 crystal (PBE, Alexandria via LeMat-Bulk).

abc: 5.328 4.861 7.022
angles: 110.25 122.97 90.00
Fractional coordinates of all 12 atoms:
Ca  0.750  0.773  0.000
Ca  0.250  0.227  0.000
Se  0.500  0.000  0.500
Se  0.000  0.500  0.500
O  0.763  0.486  0.206
O  0.681  0.147  0.364
O  0.263  0.720  0.206
O  0.181  0.218  0.364
O  0.319  0.853  0.636
O  0.237  0.514  0.794
O  0.819  0.782  0.636
O  0.737  0.280  0.794

formation energy from raw total energies	-1.354	eV/atom
final energy	-66.89	eV per cell
total moment	0.0	μB/cell

4.
# Ca2SeO5

A relaxed Ca2SeO5 crystal (PBE, Alexandria via LeMat-Bulk).

abc: 5.651 5.651 5.386
angles: 121.65 121.65 89.99
Fractional coordinates of all 8 atoms:
Ca  0.211  0.711  0.421
Ca  0.711  0.211  0.421
Se  0.978  0.978  0.956
O  0.815  0.251  0.066
O  0.251  0.251  0.066
O  0.815  0.815  0.066
O  0.251  0.815  0.066
O  0.746  0.746  0.492

formation energy from raw total energies	-1.830	eV/atom
final energy	-46.92	eV per cell
total moment	0.0	μB/cell
DOS at the Fermi energy	0.00	states/eV per atom

5.
# CaSe2O5

A relaxed CaSe2O5 crystal (PBE, Alexandria via LeMat-Bulk).

abc: 6.914 6.971 11.390
angles: 90.00 90.00 90.00
Fractional coordinates of all 32 atoms:
Ca  0.750  0.000  0.941
Ca  0.250  0.500  0.559
Ca  0.250  0.000  0.059
Ca  0.750  0.500  0.441
Se  0.054  0.371  0.842
Se  0.554  0.129  0.658
Se  0.946  0.871  0.658
Se  0.446  0.629  0.842
Se  0.946  0.629  0.158
Se  0.446  0.871  0.342
Se  0.054  0.129  0.342
Se  0.554  0.371  0.158
O  0.250  0.000  0.424
O  0.750  0.500  0.076
O  0.750  0.000  0.576
O  0.250  0.500  0.924
O  0.669  0.299  0.281
O  0.169  0.201  0.219
O  0.331  0.799  0.219
O  0.831  0.701  0.281
O  0.331  0.701  0.719
O  0.831  0.799  0.781
O  0.669  0.201  0.781
O  0.169  0.299  0.719
O  0.048  0.329  0.429
O  0.548  0.171  0.071
O  0.952  0.829  0.071
O  0.452  0.671  0.429
O  0.952  0.671  0.571
O  0.452  0.829  0.929
O  0.048  0.171  0.929
O  0.548  0.329  0.571

formation energy from raw total energies	-1.476	eV/atom
final energy	-182.28	eV per cell
total moment	0.0	μB/cell
DOS at the Fermi energy	0.00	states/eV per atom

6.
# Ca5Se4O

A relaxed Ca5Se4O crystal (PBE, Alexandria via LeMat-Bulk).

abc: 5.931 7.056 7.056
angles: 79.83 65.15 65.15
Fractional coordinates of all 10 atoms:
Ca  0.913  0.360  0.819
Ca  0.272  0.819  0.640
Ca  0.731  0.181  0.360
Ca  0.091  0.640  0.181
Ca  0.434  0.000  0.000
Se  0.410  0.394  0.795
Se  0.804  0.795  0.606
Se  0.205  0.205  0.394
Se  0.599  0.606  0.205
O  0.051  0.000  0.000

formation energy from raw total energies	-2.108	eV/atom
final energy	-49.98	eV per cell
total moment	0.0	μB/cell
DOS at the Fermi energy	0.00	states/eV per atom

7.
# CaSeO3

A relaxed CaSeO3 crystal (PBE, Alexandria via LeMat-Bulk).

abc: 6.859 6.549 8.258
angles: 53.35 90.00 90.00
Fractional coordinates of all 20 atoms:
Ca  0.877  0.152  0.121
Ca  0.623  0.152  0.621
Ca  0.377  0.848  0.379
Ca  0.123  0.848  0.879
Se  0.342  0.350  0.908
Se  0.158  0.350  0.408
Se  0.842  0.650  0.592
Se  0.658  0.650  0.092
O  0.425  0.402  0.689
O  0.925  0.598  0.811
O  0.689  0.915  0.482
O  0.075  0.402  0.189
O  0.032  0.794  0.422
O  0.575  0.598  0.311
O  0.968  0.206  0.578
O  0.811  0.915  0.982
O  0.468  0.794  0.922
O  0.311  0.085  0.518
O  0.189  0.085  0.018
O  0.532  0.206  0.078

formation energy from raw total energies	-1.887	eV/atom
final energy	-119.19	eV per cell
total moment	0.0	μB/cell
DOS at the Fermi energy	0.00	states/eV per atom

8.
# Ca3Se2O

A relaxed Ca3Se2O crystal (PBE, Alexandria via LeMat-Bulk).

abc: 6.438 7.143 13.988
angles: 88.19 85.99 63.21
Fractional coordinates of all 24 atoms:
Ca  0.597  0.805  0.250
Ca  0.403  0.195  0.750
Ca  0.511  0.343  0.131
Ca  0.146  0.343  0.369
Ca  0.489  0.657  0.869
Ca  0.854  0.657  0.631
Ca  0.676  0.191  0.535
Ca  0.133  0.191  0.965
Ca  0.324  0.809  0.465
Ca  0.867  0.809  0.035
Ca  0.989  0.022  0.250
Ca  0.011  0.978  0.750
Se  0.570  0.414  0.346
Se  0.016  0.414  0.154
Se  0.430  0.586  0.654
Se  0.984  0.586  0.846
Se  0.342  0.791  0.074
Se  0.867  0.791  0.426
Se  0.658  0.209  0.926
Se  0.133  0.209  0.574
O  0.721  0.006  0.163
O  0.272  0.006  0.337
O  0.279  0.994  0.837
O  0.728  0.994  0.663

formation energy from raw total energies	-2.253	eV/atom
final energy	-125.81	eV per cell
total moment	0.0	μB/cell
DOS at the Fermi energy	0.00	states/eV per atom

> Among the records above, which one has the highest formation energy from raw total energies?

CaSeO4

> What is the total moment in the eighth record?

0.0 μB/cell